Below is MgTl2Re after structural relaxation, with properties calculated at the GGA-PBE level.

Volume = 81.1 Å³ per cell
Energy above the most stable polymorph in this dataset = 13.3 kJ/mol of atoms

abc: 3.6261 3.6261 6.1650
angles: 90.00 90.00 90.00
Space group P4/mmm (No. 123)
Unique sites:
Mg 0.0000 0.0000 0.0000
Tl 0.5000 0.5000 0.2585
Re 0.0000 0.0000 0.5000

Below is LiCrCu2 after structural relaxation, with properties calculated at the GGA-PBE level.

Volume = 146.4 Å³ per cell
Energy above the most stable polymorph in this dataset = 5.2 kJ/mol of atoms

abc: 2.5361 2.5361 26.2824
angles: 90.00 90.00 120.00
Space group R-3m (No. 166, hexagonal axes)
Unique sites:
Li 0.0000 0.0000 0.0000
Cr 0.0000 0.0000 0.5000
Cu 0.0000 0.0000 0.2492

Below is Ce2Tl3Bi3 after structural relaxation, with properties calculated at the GGA-PBE level.

Volume = 235.8 Å³ per cell
DFT total energy = -4.2192 eV per atom

abc: 4.8908 5.0591 9.5286
angles: 90.00 90.00 90.00
Space group Pmmm (No. 47)
Unique sites:
Ce 0.0000 0.0000 0.2435
Tl 0.0000 0.5000 0.5000
Tl 0.5000 0.5000 0.2560
Bi 0.0000 0.5000 0.0000
Bi 0.5000 0.0000 0.0000
Bi 0.5000 0.0000 0.5000

Calculated magnetization in order - 0.00, 0.40, 1.89 μB per formula unit